[1]
Compound: Pr6DyHo4
Source: Alexandria
Functional: PBE
Structure: optimized geometry

a = 6.845 Å, b = 6.845 Å, c = 9.549 Å
α = 111.00°, β = 111.00°, γ = 90.00°
Atoms (fractional coordinates):
Pr 0.000 0.500 0.000
Pr 0.500 0.000 0.000
Pr 0.871 0.486 0.357
Pr 0.514 0.514 0.643
Pr 0.486 0.871 0.357
Pr 0.129 0.129 0.643
Ho 0.288 0.288 0.226
Ho 0.712 0.061 0.774
Ho 0.061 0.712 0.774
Ho 0.939 0.939 0.226
Dy 0.500 0.500 0.000

Values from the calculation:
**Space-group type**: I-42m


[2]
Compound: NaMg2GeRh
Source: Alexandria
Functional: PBE
Structure: optimized geometry

a = 5.039 Å, b = 5.039 Å, c = 4.707 Å
α = 90.00°, β = 90.00°, γ = 90.00°
Atoms (fractional coordinates):
Mg 0.500 0.000 0.000
Mg 0.000 0.500 0.000
Na 0.500 0.500 0.500
Ge 0.000 0.000 0.500
Rh 0.000 0.000 0.000

Values from the calculation:
**Space-group type**: P4/mmm


[3]
Compound: Er12TcBi6
Source: Alexandria
Functional: PBE
Structure: optimized geometry

a = 8.593 Å, b = 8.593 Å, c = 8.593 Å
α = 99.64°, β = 99.64°, γ = 99.64°
Atoms (fractional coordinates):
Er 0.056 0.001 0.311
Er 0.311 0.056 0.001
Er 0.462 0.795 0.589
Er 0.795 0.589 0.462
Er 0.689 0.944 0.999
Er 0.205 0.411 0.538
Er 0.944 0.999 0.689
Er 0.538 0.205 0.411
Er 0.589 0.462 0.795
Er 0.999 0.689 0.944
Er 0.411 0.538 0.205
Er 0.001 0.311 0.056
Bi 0.116 0.654 0.323
Bi 0.323 0.116 0.654
Bi 0.654 0.323 0.116
Bi 0.346 0.677 0.884
Bi 0.677 0.884 0.346
Bi 0.884 0.346 0.677
Tc 0.000 0.000 0.000

Values from the calculation:
**Space-group type**: R-3


Number 1: formation energy 3.26 eV per formula unit. Number 2: formation energy -1.18 eV per formula unit. Number 3: formation energy -7.27 eV per formula unit.